Entry 1:
Here is a relaxed IrRuPb2C crystal from the Alexandria database. Energies are from GGA-PBEsol.

Properties
Energy relative to the elements in eV per atom: 1.125
N(E_F) in states/eV/atom: 0.84
V in Å³/atom: 18.7
Electronic total energy in eV/atom: -6.4023

Cell lengths 4.960, 4.960, 3.803 Å; angles 90.00, 90.00, 90.00 degrees
Space group P4/mmm (No. 123)
Unique sites:
Ir (0.000, 0.000, 0.000) [1 per cell]
Ru (0.500, 0.500, 0.000) [1 per cell]
Pb (0.000, 0.500, 0.500) [2 per cell]
C (0.000, 0.000, 0.500) [1 per cell]

***

Entry 2:
Here is a relaxed IrRhC2 crystal from the Alexandria database. Energies are from GGA-PBEsol.

Properties
Energy relative to the elements in eV per atom: 0.519
N(E_F) in states/eV/atom: 0.34
V in Å³/atom: 11.9
Electronic total energy in eV/atom: -8.7934

Cell lengths 4.560, 4.560, 9.153 Å; angles 90.00, 90.00, 90.00 degrees
Space group I-42d (No. 122)
Unique sites:
Ir (0.000, 0.000, 0.000) [4 per cell]
Rh (0.000, 0.000, 0.500) [4 per cell]
C (0.247, 0.250, 0.125) [8 per cell]